The following is a PBE calculation of crystalline HoNpMn4 at its relaxed geometry, from Alexandria via LeMat-Bulk.

a = 5.0391 Å, b = 5.0391 Å, c = 5.0391 Å
α = 60.00°, β = 60.00°, γ = 60.00°
Last column: nearest neighbours and their distance in Å.
Atoms (fractional coordinates):
Np1 0.2500 0.2500 0.2500  12 Mn 2.95, 4 Ho 3.09
Mn1 0.6245 0.6245 0.1266  6 Mn 2.51-2.53
Mn2 0.6245 0.1266 0.6245  6 Mn 2.51-2.53
Mn3 0.6245 0.6245 0.6245  6 Mn 2.51-2.53
Mn4 0.1266 0.6245 0.6245  6 Mn 2.51-2.53
Ho1 0.0000 0.0000 0.0000  12 Mn 2.96, 4 Np 3.09

**Total magnetic moment**: 1.0629 μB/atom
**Crystal system**: cubic
**E_tot**: -8.800 eV/atom
**Formation enthalpy at 0 K**: 0.233 eV per atom
**Symmetry**: F-43m, No. 216